# 1
Below is a relaxed structure of SrScBi2, with properties calculated at the PBE level.

Unit cell a=4.457 b=4.457 c=8.143 alpha=74.12 beta=74.12 gamma=60.00
Positions (direct):
Bi1 0.737 0.737 0.790
Sc1 0.000 0.000 0.000
Sr1 0.500 0.500 0.500
Bi2 0.263 0.263 0.210

Values from the calculation:
Excess energy over the best structure of this formula in the dataset = 0 meV/atom
Electronic total energy = -18.46 eV for the cell shown
Formation energy = -2.69 eV per formula unit
Spin magnetization = 0.0 μB/cell

# 2
Below is a relaxed structure of Li4Nd3Hg4, with properties calculated at the PBE level.

Unit cell a=3.509 b=4.808 c=15.732 alpha=81.16 beta=83.63 gamma=90.04
Positions (direct):
Hg1 0.448 0.448 0.103
Nd1 0.143 0.644 0.714
Hg2 0.552 0.552 0.897
Nd2 0.000 0.000 0.000
Li1 0.743 0.743 0.515
Li2 0.406 0.906 0.188
Hg3 0.686 0.187 0.628
Li3 0.257 0.257 0.485
Li4 0.594 0.094 0.812
Hg4 0.314 0.813 0.372
Nd3 0.857 0.356 0.286

Values from the calculation:
Excess energy over the best structure of this formula in the dataset = 7 meV/atom
Electronic total energy = -26.80 eV for the cell shown
Formation energy = -3.63 eV per formula unit
Spin magnetization = 0.0 μB/cell

# 3
Below is a relaxed structure of Ba2LiAs3Pd12, with properties calculated at the PBE level.

Unit cell a=7.031 b=7.031 c=7.031 alpha=83.58 beta=83.58 gamma=83.58
Positions (direct):
Pd1 0.081 0.639 0.639
Pd2 0.919 0.361 0.361
Pd3 0.174 0.691 0.174
Pd4 0.639 0.081 0.639
As1 0.000 0.500 0.000
Pd5 0.826 0.826 0.309
As2 0.000 0.000 0.500
Li1 0.000 0.000 0.000
Ba1 0.374 0.374 0.374
Pd6 0.361 0.919 0.361
Pd7 0.174 0.174 0.691
Pd8 0.691 0.174 0.174
Pd9 0.309 0.826 0.826
Pd10 0.639 0.639 0.081
Pd11 0.826 0.309 0.826
Pd12 0.361 0.361 0.919
Ba2 0.626 0.626 0.626
As3 0.500 0.000 0.000

Values from the calculation:
Electronic total energy = -86.59 eV for the cell shown
Formation energy = -4.56 eV per formula unit
Spin magnetization = 0.0 μB/cell

# 4
Below is a relaxed structure of LiSiNO2, with properties calculated at the PBE level.

Unit cell a=3.553 b=3.553 c=3.600 alpha=90.00 beta=90.00 gamma=90.00
Positions (direct):
O1 0.500 0.000 0.000
Si1 0.000 0.000 0.000
O2 0.000 0.500 0.000
N1 0.000 0.000 0.500
Li1 0.500 0.500 0.500

Values from the calculation:
Energy relative to the elements, uncorrected = -1.106 eV/atom
Electronic total energy = -31.11 eV for the cell shown
Spin magnetization = 1.8 μB/cell

# 5
Below is a relaxed structure of MgTl3Cr, with properties calculated at the PBE level.

Unit cell a=5.341 b=5.341 c=5.341 alpha=90.00 beta=90.00 gamma=90.00
Positions (direct):
Mg1 0.500 0.500 0.500
Tl1 0.500 0.000 0.000
Cr1 0.000 0.000 0.000
Tl2 0.000 0.000 0.500
Tl3 0.000 0.500 0.000

Values from the calculation:
Excess energy over the best structure of this formula in the dataset = 0 meV/atom
Electronic total energy = -15.85 eV for the cell shown
Formation energy = 2.47 eV per formula unit
Spin magnetization = 3.2 μB/cell

# 6
Below is a relaxed structure of Np3Tl5S12, with properties calculated at the PBE level.

Unit cell a=13.878 b=13.878 c=13.878 alpha=109.47 beta=109.47 gamma=109.47
Positions (direct):
S1 0.641 0.586 0.913
S2 0.413 0.141 0.586
S3 0.445 0.673 0.086
Np1 0.125 0.250 0.875
S4 0.728 0.141 0.055
Np2 0.375 0.750 0.625
Np3 0.375 0.625 0.250
Tl1 0.875 0.625 0.750
S5 0.141 0.728 0.555
Tl2 0.500 0.500 0.000
S6 0.913 0.086 0.641
Tl3 0.000 0.500 0.000
S7 0.414 0.359 0.587
S8 0.728 0.587 0.173
S9 0.555 0.228 0.141
S10 0.586 0.945 0.673
S11 0.414 0.055 0.327
Tl4 0.500 0.500 0.500
Tl5 0.000 0.000 0.500
S12 0.587 0.728 0.673
S13 0.673 0.228 0.587
Np4 0.750 0.375 0.125
S14 0.445 0.772 0.859
S15 0.228 0.555 0.641
Tl6 0.875 0.250 0.625
S16 0.772 0.327 0.913
S17 0.859 0.272 0.445
Np5 0.625 0.250 0.375
Tl7 0.375 0.250 0.125
Tl8 0.125 0.375 0.250
Tl9 0.250 0.375 0.625
S18 0.272 0.859 0.945
Tl10 0.500 0.000 0.500
S19 0.673 0.445 0.586
Tl11 0.625 0.750 0.875
S20 0.086 0.173 0.445
Tl12 0.375 0.125 0.750
S21 0.827 0.913 0.272
Tl13 0.250 0.875 0.125
S22 0.413 0.272 0.327
S23 0.272 0.413 0.827
S24 0.359 0.414 0.087
Np6 0.875 0.125 0.250
S25 0.055 0.641 0.728
S26 0.827 0.914 0.055
S27 0.173 0.086 0.945
Tl14 0.000 0.500 0.500
S28 0.641 0.055 0.228
S29 0.945 0.586 0.173
S30 0.327 0.772 0.413
S31 0.055 0.414 0.827
Tl15 0.125 0.750 0.375
S32 0.141 0.413 0.086
Np7 0.625 0.375 0.750
Np8 0.250 0.625 0.875
Np9 0.125 0.875 0.750
S33 0.586 0.641 0.413
Tl16 0.000 0.000 0.000
S34 0.173 0.087 0.728
S35 0.086 0.913 0.141
S36 0.228 0.673 0.087
S37 0.555 0.327 0.914
S38 0.913 0.827 0.772
Np10 0.875 0.750 0.125
S39 0.087 0.173 0.228
S40 0.327 0.555 0.414
S41 0.914 0.087 0.859
Tl17 0.750 0.625 0.375
Np11 0.250 0.125 0.375
Np12 0.750 0.875 0.625
Tl18 0.500 0.000 0.000
S42 0.945 0.359 0.272
S43 0.087 0.914 0.359
Tl19 0.625 0.875 0.250
S44 0.859 0.587 0.914
S45 0.772 0.445 0.359
S46 0.587 0.859 0.414
Tl20 0.750 0.125 0.875
S47 0.914 0.827 0.555
S48 0.359 0.945 0.772

Values from the calculation:
Energy relative to the elements, uncorrected = -0.517 eV/atom
Electronic total energy = -442.09 eV for the cell shown
Spin magnetization = 43.8 μB/cell